Model A:
# Li4PH (PBE, relaxed)
# - DOS at the Fermi energy: 0.1761 states/eV/atom
data_Li4PH
_chemical_formula_sum 'Li4 P1 H1'
_space_group_name_H-M_alt 'P 1'
_space_group_IT_number 1
_space_group_name_Hall 'P 1'
_cell_length_a 3.761
_cell_length_b 3.761
_cell_length_c 5.332
_cell_angle_alpha 90.00
_cell_angle_beta 90.00
_cell_angle_gamma 90.00
loop_
_atom_site_label
_atom_site_fract_x
_atom_site_fract_y
_atom_site_fract_z
Li1 0.000 0.000 0.179
Li2 0.000 0.000 0.821
Li3 0.000 0.500 0.500
Li4 0.500 0.000 0.500
P1 0.500 0.500 0.000
H1 0.000 0.000 0.500



Model B:
First-principles (PBE) data for an optimized crystal structure of Li4PH, as listed in the Alexandria database.

CIF file:
```
data_Li4PH
_chemical_formula_sum 'Li4 P1 H1'
_space_group_name_H-M_alt 'P 1'
_space_group_IT_number 1
_space_group_name_Hall 'P 1'
_cell_length_a 4.239
_cell_length_b 4.247
_cell_length_c 5.204
_cell_angle_alpha 78.99
_cell_angle_beta 79.68
_cell_angle_gamma 85.32
loop_
_atom_site_label
_atom_site_fract_x
_atom_site_fract_y
_atom_site_fract_z
Li1 0.053 0.112 0.251
Li2 0.396 0.440 0.752
Li3 0.604 0.560 0.248
Li4 0.947 0.888 0.749
P1 0.500 0.000 0.500
H1 0.000 0.500 0.000
```



Most stable = model B



Model A:
First-principles (PBE) data for an optimized crystal structure of LiPmPH, as listed in the Alexandria database.

CIF file:
```
data_LiPmPH
_chemical_formula_sum 'Li2 Pm2 P2 H2'
_space_group_name_H-M_alt 'P 1'
_space_group_IT_number 1
_space_group_name_Hall 'P 1'
_cell_length_a 3.882
_cell_length_b 3.882
_cell_length_c 8.296
_cell_angle_alpha 90.00
_cell_angle_beta 90.00
_cell_angle_gamma 90.00
loop_
_atom_site_label
_atom_site_fract_x
_atom_site_fract_y
_atom_site_fract_z
Li1 0.250 0.750 0.000
Li2 0.750 0.250 0.000
Pm1 0.250 0.250 0.333
Pm2 0.750 0.750 0.667
P1 0.250 0.250 0.805
P2 0.750 0.750 0.195
H1 0.250 0.750 0.500
H2 0.750 0.250 0.500
```



Model B:
First-principles (PBE) data for an optimized crystal structure of LiPmPH, as listed in the Alexandria database.

CIF file:
```
data_LiPmPH
_chemical_formula_sum 'Li1 Pm1 P1 H1'
_space_group_name_H-M_alt 'P 1'
_space_group_IT_number 1
_space_group_name_Hall 'P 1'
_cell_length_a 4.578
_cell_length_b 4.578
_cell_length_c 4.578
_cell_angle_alpha 60.00
_cell_angle_beta 60.00
_cell_angle_gamma 60.00
loop_
_atom_site_label
_atom_site_fract_x
_atom_site_fract_y
_atom_site_fract_z
Li1 0.000 0.000 0.000
Pm1 0.500 0.500 0.500
P1 0.250 0.250 0.250
H1 0.750 0.750 0.750
```



Most stable = model A



Model A:
# LiPHS2 (PBE, relaxed)
# - DOS at the Fermi energy: 0.6224 states/eV/atom
data_LiPHS2
_chemical_formula_sum 'Li1 P1 H1 S2'
_space_group_name_H-M_alt 'P 1'
_space_group_IT_number 1
_space_group_name_Hall 'P 1'
_cell_length_a 4.756
_cell_length_b 4.756
_cell_length_c 3.057
_cell_angle_alpha 90.00
_cell_angle_beta 90.00
_cell_angle_gamma 90.00
loop_
_atom_site_label
_atom_site_fract_x
_atom_site_fract_y
_atom_site_fract_z
Li1 0.000 0.000 0.000
P1 0.500 0.500 0.000
H1 0.500 0.500 0.500
S1 0.000 0.500 0.500
S2 0.500 0.000 0.500



Model B:
# LiPHS2 (PBE, relaxed)
# - DOS at the Fermi energy: 0.6485 states/eV/atom
data_LiPHS2
_chemical_formula_sum 'Li1 P1 H1 S2'
_space_group_name_H-M_alt 'P 1'
_space_group_IT_number 1
_space_group_name_Hall 'P 1'
_cell_length_a 4.389
_cell_length_b 4.389
_cell_length_c 4.362
_cell_angle_alpha 90.00
_cell_angle_beta 90.00
_cell_angle_gamma 90.00
loop_
_atom_site_label
_atom_site_fract_x
_atom_site_fract_y
_atom_site_fract_z
Li1 0.000 0.000 0.000
P1 0.000 0.000 0.500
H1 0.500 0.500 0.500
S1 0.000 0.500 0.000
S2 0.500 0.000 0.000



Most stable = model A



Model A:
# LiP2HS (PBE, relaxed)
# - DOS at the Fermi energy: 0.4648 states/eV/atom
data_LiP2HS
_chemical_formula_sum 'Li1 P2 H1 S1'
_space_group_name_H-M_alt 'P 1'
_space_group_IT_number 1
_space_group_name_Hall 'P 1'
_cell_length_a 3.623
_cell_length_b 3.623
_cell_length_c 5.024
_cell_angle_alpha 90.00
_cell_angle_beta 90.00
_cell_angle_gamma 90.00
loop_
_atom_site_label
_atom_site_fract_x
_atom_site_fract_y
_atom_site_fract_z
Li1 0.000 0.000 0.000
P1 0.000 0.500 0.500
P2 0.500 0.000 0.500
H1 0.500 0.500 0.500
S1 0.500 0.500 0.000



Model B:
# LiP2HS (PBE, relaxed)
# - DOS at the Fermi energy: 0.3035 states/eV/atom
data_LiP2HS
_chemical_formula_sum 'Li1 P2 H1 S1'
_space_group_name_H-M_alt 'P 1'
_space_group_IT_number 1
_space_group_name_Hall 'P 1'
_cell_length_a 4.307
_cell_length_b 4.307
_cell_length_c 4.247
_cell_angle_alpha 90.00
_cell_angle_beta 90.00
_cell_angle_gamma 90.00
loop_
_atom_site_label
_atom_site_fract_x
_atom_site_fract_y
_atom_site_fract_z
Li1 0.000 0.000 0.000
P1 0.000 0.500 0.000
P2 0.500 0.000 0.000
H1 0.500 0.500 0.500
S1 0.000 0.000 0.500



Most stable = model A



Model A:
# LiHPb3 (PBE, relaxed)
# - DOS at the Fermi energy: 0.5013 states/eV/atom
data_LiHPb3
_chemical_formula_sum 'Li1 H1 Pb3'
_space_group_name_H-M_alt 'P 1'
_space_group_IT_number 1
_space_group_name_Hall 'P 1'
_cell_length_a 5.104
_cell_length_b 5.104
_cell_length_c 5.104
_cell_angle_alpha 90.00
_cell_angle_beta 90.00
_cell_angle_gamma 90.00
loop_
_atom_site_label
_atom_site_fract_x
_atom_site_fract_y
_atom_site_fract_z
Li1 0.000 0.000 0.000
H1 0.500 0.500 0.500
Pb1 0.000 0.000 0.500
Pb2 0.000 0.500 0.000
Pb3 0.500 0.000 0.000



Model B:
# LiHPb3 (PBE, relaxed)
# - DOS at the Fermi energy: 0.2094 states/eV/atom
data_LiHPb3
_chemical_formula_sum 'Li1 H1 Pb3'
_space_group_name_H-M_alt 'P 1'
_space_group_IT_number 1
_space_group_name_Hall 'P 1'
_cell_length_a 4.926
_cell_length_b 4.926
_cell_length_c 4.926
_cell_angle_alpha 90.00
_cell_angle_beta 90.00
_cell_angle_gamma 90.00
loop_
_atom_site_label
_atom_site_fract_x
_atom_site_fract_y
_atom_site_fract_z
Li1 0.000 0.000 0.000
H1 0.500 0.500 0.500
Pb1 0.000 0.500 0.500
Pb2 0.500 0.000 0.500
Pb3 0.500 0.500 0.000



Most stable = model B



Model A:
# LiH2Pb2 (PBE, relaxed)
# - DOS at the Fermi energy: 0.3973 states/eV/atom
data_LiH2Pb2
_chemical_formula_sum 'Li2 H4 Pb4'
_space_group_name_H-M_alt 'P 1'
_space_group_IT_number 1
_space_group_name_Hall 'P 1'
_cell_length_a 7.912
_cell_length_b 7.912
_cell_length_c 3.447
_cell_angle_alpha 90.00
_cell_angle_beta 90.00
_cell_angle_gamma 90.00
loop_
_atom_site_label
_atom_site_fract_x
_atom_site_fract_y
_atom_site_fract_z
Li1 0.000 0.000 0.000
Li2 0.500 0.500 0.000
H1 0.118 0.382 0.500
H2 0.382 0.882 0.500
H3 0.618 0.118 0.500
H4 0.882 0.618 0.500
Pb1 0.225 0.275 0.000
Pb2 0.275 0.775 0.000
Pb3 0.725 0.225 0.000
Pb4 0.775 0.725 0.000



Model B:
# LiH2Pb2 (PBE, relaxed)
# - DOS at the Fermi energy: 0.4047 states/eV/atom
data_LiH2Pb2
_chemical_formula_sum 'Li1 H2 Pb2'
_space_group_name_H-M_alt 'P 1'
_space_group_IT_number 1
_space_group_name_Hall 'P 1'
_cell_length_a 7.458
_cell_length_b 7.458
_cell_length_c 7.458
_cell_angle_alpha 152.66
_cell_angle_beta 152.66
_cell_angle_gamma 39.05
loop_
_atom_site_label
_atom_site_fract_x
_atom_site_fract_y
_atom_site_fract_z
Li1 0.000 0.000 0.000
H1 0.250 0.750 0.500
H2 0.750 0.250 0.500
Pb1 0.361 0.361 0.000
Pb2 0.639 0.639 0.000



Model C:
# LiH2Pb2 (PBE, relaxed)
# - DOS at the Fermi energy: 0.3397 states/eV/atom
data_LiH2Pb2
_chemical_formula_sum 'Li2 H4 Pb4'
_space_group_name_H-M_alt 'P 1'
_space_group_IT_number 1
_space_group_name_Hall 'P 1'
_cell_length_a 6.373
_cell_length_b 6.373
_cell_length_c 4.586
_cell_angle_alpha 90.00
_cell_angle_beta 90.00
_cell_angle_gamma 90.00
loop_
_atom_site_label
_atom_site_fract_x
_atom_site_fract_y
_atom_site_fract_z
Li1 0.000 0.000 0.000
Li2 0.500 0.500 0.000
H1 0.228 0.272 0.000
H2 0.272 0.772 0.000
H3 0.728 0.228 0.000
H4 0.772 0.728 0.000
Pb1 0.192 0.308 0.500
Pb2 0.308 0.808 0.500
Pb3 0.692 0.192 0.500
Pb4 0.808 0.692 0.500



Most stable = model C



Model A:
# LiHPb (PBE, relaxed)
# - DOS at the Fermi energy: 0.3255 states/eV/atom
data_LiHPb
_chemical_formula_sum 'Li1 H1 Pb1'
_space_group_name_H-M_alt 'P 1'
_space_group_IT_number 1
_space_group_name_Hall 'P 1'
_cell_length_a 5.773
_cell_length_b 5.773
_cell_length_c 5.773
_cell_angle_alpha 147.75
_cell_angle_beta 147.75
_cell_angle_gamma 46.25
loop_
_atom_site_label
_atom_site_fract_x
_atom_site_fract_y
_atom_site_fract_z
Li1 0.000 0.000 0.000
H1 0.495 0.495 0.000
Pb1 0.290 0.290 0.000



Model B:
# LiHPb (PBE, relaxed)
# - DOS at the Fermi energy: 0.1128 states/eV/atom
data_LiHPb
_chemical_formula_sum 'Li1 H1 Pb1'
_space_group_name_H-M_alt 'P 1'
_space_group_IT_number 1
_space_group_name_Hall 'P 1'
_cell_length_a 3.245
_cell_length_b 3.245
_cell_length_c 6.616
_cell_angle_alpha 90.00
_cell_angle_beta 90.00
_cell_angle_gamma 120.00
loop_
_atom_site_label
_atom_site_fract_x
_atom_site_fract_y
_atom_site_fract_z
Li1 0.000 0.000 0.000
H1 0.667 0.333 0.000
Pb1 0.333 0.667 0.500



Most stable = model B



Model A:
# Li2HPtPb (PBE, relaxed)
# - DOS at the Fermi energy: 0.3115 states/eV/atom
data_Li2HPtPb
_chemical_formula_sum 'Li2 H1 Pt1 Pb1'
_space_group_name_H-M_alt 'P 1'
_space_group_IT_number 1
_space_group_name_Hall 'P 1'
_cell_length_a 4.404
_cell_length_b 4.404
_cell_length_c 3.615
_cell_angle_alpha 90.00
_cell_angle_beta 90.00
_cell_angle_gamma 90.00
loop_
_atom_site_label
_atom_site_fract_x
_atom_site_fract_y
_atom_site_fract_z
Li1 0.000 0.500 0.000
Li2 0.500 0.000 0.000
H1 0.000 0.000 0.000
Pt1 0.000 0.000 0.500
Pb1 0.500 0.500 0.500



Model B:
# Li2HPtPb (PBE, relaxed)
# - DOS at the Fermi energy: 0.3630 states/eV/atom
data_Li2HPtPb
_chemical_formula_sum 'Li2 H1 Pt1 Pb1'
_space_group_name_H-M_alt 'P 1'
_space_group_IT_number 1
_space_group_name_Hall 'P 1'
_cell_length_a 3.997
_cell_length_b 3.997
_cell_length_c 4.677
_cell_angle_alpha 90.00
_cell_angle_beta 90.00
_cell_angle_gamma 90.00
loop_
_atom_site_label
_atom_site_fract_x
_atom_site_fract_y
_atom_site_fract_z
Li1 0.000 0.500 0.000
Li2 0.500 0.000 0.000
H1 0.000 0.000 0.000
Pt1 0.500 0.500 0.500
Pb1 0.000 0.000 0.500



Most stable = model A